Record 1
SrTm2NbN4 (PBE, relaxed); crystal system = orthorhombic; magnetization = 0.0 μB per formula unit; D(E_F) = 6.18 states/eV/cell; symmetry = No. 63; formation energy without anion corrections = -122.1 kJ per mole of atoms
1.0
1.716 -6.025 0.000
1.716 6.025 0.000
0.000 0.000 12.063
Sr Tm Nb N
2 4 2 8
Direct
0.100 0.900 0.750
0.900 0.100 0.250
0.371 0.629 0.534
0.371 0.629 0.966
0.629 0.371 0.034
0.629 0.371 0.466
0.166 0.834 0.250
0.834 0.166 0.750
0.000 0.000 0.000
0.000 0.000 0.500
0.257 0.743 0.115
0.257 0.743 0.385
0.428 0.572 0.750
0.572 0.428 0.250
0.743 0.257 0.615
0.743 0.257 0.885

=====

Record 2
Sr2UNbN5 (PBE, relaxed); crystal system = orthorhombic; magnetization = 0.0 μB per formula unit; symmetry = No. 36; formation energy without anion corrections = -110.3 kJ per mole of atoms
1.0
1.749 -7.255 0.000
1.749 7.255 0.000
0.000 0.000 11.241
Sr U Nb N
4 2 2 10
Direct
0.109 0.891 0.500
0.134 0.866 0.078
0.866 0.134 0.578
0.891 0.109 0.000
0.221 0.779 0.804
0.779 0.221 0.304
0.492 0.508 0.261
0.508 0.492 0.761
0.062 0.938 0.822
0.278 0.722 0.421
0.292 0.708 0.190
0.376 0.624 0.805
0.499 0.501 0.595
0.501 0.499 0.095
0.624 0.376 0.305
0.708 0.292 0.690
0.722 0.278 0.921
0.938 0.062 0.322

=====

Record 3
Sr2NbWN5 (PBE, relaxed); crystal system = orthorhombic; magnetization = 0.0 μB per formula unit; D(E_F) = 0.00 states/eV/cell; symmetry = No. 36; formation energy without anion corrections = -82.8 kJ per mole of atoms
1.0
1.684 -7.406 0.000
1.684 7.406 0.000
0.000 0.000 11.156
Sr Nb W N
4 2 2 10
Direct
0.108 0.892 0.500
0.140 0.860 0.152
0.860 0.140 0.652
0.892 0.108 0.000
0.218 0.782 0.869
0.782 0.218 0.369
0.444 0.556 0.267
0.556 0.444 0.767
0.035 0.965 0.849
0.289 0.711 0.475
0.322 0.678 0.224
0.341 0.659 0.834
0.498 0.502 0.624
0.502 0.498 0.124
0.659 0.341 0.334
0.678 0.322 0.724
0.711 0.289 0.975
0.965 0.035 0.349

=====

Record 4
SrY2NbN (PBE, relaxed); crystal system = tetragonal; magnetization = 0.0 μB per formula unit; D(E_F) = 4.31 states/eV/cell; symmetry = No. 123; formation energy without anion corrections = 151.9 kJ per mole of atoms
1.0
5.287 0.000 0.000
0.000 5.287 0.000
0.000 0.000 5.680
Sr Y Nb N
1 2 1 1
Direct
0.000 0.000 0.000
0.000 0.500 0.500
0.500 0.000 0.500
0.000 0.000 0.500
0.500 0.500 0.000

=====

Record 5
SrNb2ZnN4 (PBE, relaxed); crystal system = orthorhombic; magnetization = 0.0 μB per formula unit; D(E_F) = 2.64 states/eV/cell; symmetry = No. 63; formation energy without anion corrections = -66.6 kJ per mole of atoms
1.0
1.661 -5.443 0.000
1.661 5.443 0.000
0.000 0.000 11.152
Sr Nb Zn N
2 4 2 8
Direct
0.102 0.898 0.750
0.898 0.102 0.250
0.376 0.624 0.542
0.376 0.624 0.958
0.624 0.376 0.042
0.624 0.376 0.458
0.168 0.832 0.250
0.832 0.168 0.750
0.000 0.000 0.000
0.000 0.000 0.500
0.271 0.729 0.103
0.271 0.729 0.397
0.428 0.572 0.750
0.572 0.428 0.250
0.729 0.271 0.603
0.729 0.271 0.897

=====

Record 6
SrZr2NbN4 (PBE, relaxed); crystal system = orthorhombic; magnetization = 0.0 μB per formula unit; D(E_F) = 8.33 states/eV/cell; symmetry = No. 63; formation energy without anion corrections = -112.1 kJ per mole of atoms
1.0
1.659 -5.886 0.000
1.659 5.886 0.000
0.000 0.000 11.762
Sr Zr Nb N
2 4 2 8
Direct
0.108 0.892 0.750
0.892 0.108 0.250
0.370 0.630 0.534
0.370 0.630 0.966
0.630 0.370 0.034
0.630 0.370 0.466
0.159 0.841 0.250
0.841 0.159 0.750
0.000 0.000 0.000
0.000 0.000 0.500
0.261 0.739 0.113
0.261 0.739 0.387
0.441 0.559 0.750
0.559 0.441 0.250
0.739 0.261 0.613
0.739 0.261 0.887

=====

Record 7
Ta3NbN (PBE, relaxed); distance to the lowest polymorph of the same formula = 305.42 kJ/mol of atoms; crystal system = cubic; magnetization = 0.0 μB per formula unit; D(E_F) = 7.29 states/eV/cell; symmetry = No. 221; formation energy without anion corrections = 264.1 kJ per mole of atoms
1.0
4.855 0.000 0.000
0.000 4.855 0.000
0.000 0.000 4.855
Ta Nb N
3 1 1
Direct
0.000 0.000 0.500
0.000 0.500 0.000
0.500 0.000 0.000
0.000 0.000 0.000
0.500 0.500 0.500

=====

Record 8
TaNbN2 (PBE, relaxed); crystal system = cubic; magnetization = 0.0 μB per formula unit; D(E_F) = 0.03 states/eV/cell; symmetry = No. 225; formation energy without anion corrections = -38.8 kJ per mole of atoms
1.0
0.000 2.756 2.756
2.756 0.000 2.756
2.756 2.756 0.000
Ta Nb N
1 1 2
Direct
0.000 0.000 0.000
0.500 0.500 0.500
0.250 0.250 0.250
0.750 0.750 0.750

=====

Record 9
TaNb3N (PBE, relaxed); distance to the lowest polymorph of the same formula = 293.29 kJ/mol of atoms; crystal system = cubic; magnetization = 0.0 μB per formula unit; D(E_F) = 5.95 states/eV/cell; symmetry = No. 221; formation energy without anion corrections = 245.0 kJ per mole of atoms
1.0
4.875 0.000 0.000
0.000 4.875 0.000
0.000 0.000 4.875
Ta Nb N
1 3 1
Direct
0.000 0.000 0.000
0.000 0.000 0.500
0.000 0.500 0.000
0.500 0.000 0.000
0.500 0.500 0.500

=====

Record 10
Ta4NbN (PBE, relaxed); crystal system = monoclinic; magnetization = 0.0 μB per formula unit; D(E_F) = 5.79 states/eV/cell; symmetry = No. 14; formation energy without anion corrections = -5.6 kJ per mole of atoms
1.0
5.805 0.000 0.000
0.000 5.408 0.000
-1.567 0.000 6.412
Ta Nb N
8 2 2
Direct
0.094 0.153 0.199
0.094 0.347 0.699
0.344 0.591 0.119
0.344 0.909 0.619
0.656 0.091 0.381
0.656 0.409 0.881
0.906 0.653 0.301
0.906 0.847 0.801
0.500 0.000 0.000
0.500 0.500 0.500
0.000 0.000 0.500
0.000 0.500 0.000

=====

Record 11
TaNb3N (PBE, relaxed); distance to the lowest polymorph of the same formula = 10.37 kJ/mol of atoms; crystal system = cubic; magnetization = 0.0 μB per formula unit; D(E_F) = 4.58 states/eV/cell; symmetry = No. 221; formation energy without anion corrections = -38.0 kJ per mole of atoms
1.0
4.312 0.000 0.000
0.000 4.312 0.000
0.000 0.000 4.312
Ta Nb N
1 3 1
Direct
0.000 0.000 0.000
0.000 0.500 0.500
0.500 0.000 0.500
0.500 0.500 0.000
0.500 0.500 0.500

=====

Record 12
TaNbN2 (PBE, relaxed); crystal system = tetragonal; magnetization = 0.0 μB per formula unit; D(E_F) = 4.04 states/eV/cell; symmetry = No. 122; formation energy without anion corrections = -66.7 kJ per mole of atoms
1.0
-2.397 2.397 4.755
2.397 -2.397 4.755
2.397 2.397 -4.755
Ta Nb N
2 2 4
Direct
0.000 0.000 0.000
0.750 0.250 0.500
0.250 0.750 0.500
0.500 0.500 0.000
0.111 0.625 0.986
0.375 0.361 0.486
0.639 0.125 0.014
0.875 0.889 0.514